Here is an optimized crystal structure of Li4PbAu2 from the Alexandria database. Energies are from GGA-PBE.

Output
Total DFT energy (no corrections) = -20.81 eV per cell
Total moment = 0.00 μB/f.u.
V = 129 Å³/cell
E_form = -2.89 eV/f.u.

abc: 7.4604 7.4604 7.4604
angles: 36.16 36.16 36.16
With the nearest neighbours (Å) after each atom.
Fractional coordinates of all 7 atoms:
Li (0.0927, 0.0927, 0.0927)  3 Au 2.67, 3 Li 2.98
Li (0.3634, 0.3634, 0.3634)  1 Au 2.61, 1 Pb 2.85
Li (0.6366, 0.6366, 0.6366)  1 Au 2.61, 1 Pb 2.85
Li (0.9073, 0.9073, 0.9073)  3 Au 2.67, 3 Li 2.98
Pb (0.5000, 0.5000, 0.5000)  8 Li 2.85-3.09, 6 Au 3.07
Au (0.2385, 0.2385, 0.2385)  4 Li 2.61-2.67
Au (0.7615, 0.7615, 0.7615)  4 Li 2.61-2.67